Record 1
# PBE Pm2P3Pt12Rh, relaxed
# * VASP energy: -6.196 eV per atom
# * crystal system: trigonal
# * Fermi-level density of states: 24.40 states/eV per cell
data_Pm2P3Pt12Rh
_chemical_formula_sum 'Pm6 P9 Pt36 Rh3'
_symmetry_space_group_name_H-M 'R -3 m'
_symmetry_Int_Tables_number 166
_symmetry_space_group_name_Hall '-R 3 2"'
_cell_length_a 8.2215
_cell_length_b 8.2215
_cell_length_c 18.1421
_cell_angle_alpha 90.00
_cell_angle_beta 90.00
_cell_angle_gamma 120.00
loop_
_atom_site_label
_atom_site_fract_x
_atom_site_fract_y
_atom_site_fract_z
Pm1 0.0000 0.0000 0.1114
P1 0.0000 0.5000 0.0000
Pt1 0.0046 0.5023 0.8747
Pt2 0.0330 0.5165 0.3626
Rh1 0.0000 0.0000 0.5000

Record 2
# PBE InSnI2Cl, relaxed
# * VASP energy: -2.880 eV per atom
# * ΔE to the lowest computed polymorph: 0.087 eV/atom
# * crystal system: tetragonal
# * E_form (uncorrected): -0.54 eV per atom
# * Fermi-level density of states: 0.04 states/eV per cell
data_InSnI2Cl
_chemical_formula_sum 'In1 Sn1 I2 Cl1'
_symmetry_space_group_name_H-M 'P 4/m m m'
_symmetry_Int_Tables_number 123
_symmetry_space_group_name_Hall '-P 4 2'
_cell_length_a 6.253
_cell_length_b 6.253
_cell_length_c 5.444
_cell_angle_alpha 90.00
_cell_angle_beta 90.00
_cell_angle_gamma 90.00
loop_
_atom_site_label
_atom_site_fract_x
_atom_site_fract_y
_atom_site_fract_z
In1 0.000 0.000 0.000
Sn1 0.500 0.500 0.500
I1 0.000 0.500 0.500
Cl1 0.500 0.500 0.000

Record 3
# PBE Th2TaCo4As3, relaxed
# * VASP energy: -7.612 eV per atom
# * crystal system: tetragonal
# * Fermi-level density of states: 6.59 states/eV per cell
data_Th2TaCo4As3
_chemical_formula_sum 'Th2 Ta1 Co4 As3'
_symmetry_space_group_name_H-M 'P -4 m 2'
_symmetry_Int_Tables_number 115
_symmetry_space_group_name_Hall 'P -4 -2'
_cell_length_a 4.103
_cell_length_b 4.103
_cell_length_c 9.929
_cell_angle_alpha 90.00
_cell_angle_beta 90.00
_cell_angle_gamma 90.00
loop_
_atom_site_label
_atom_site_fract_x
_atom_site_fract_y
_atom_site_fract_z
Th1 0.000 0.500 0.239
Ta1 0.000 0.000 0.500
Co1 0.000 0.000 0.000
Co2 0.000 0.500 0.632
Co3 0.500 0.500 0.000
As1 0.000 0.500 0.872
As2 0.500 0.500 0.500

Record 4
# PBE AgPt2Au, relaxed
# * VASP energy: -4.270 eV per atom
# * ΔE to the lowest computed polymorph: 0.316 eV/atom
# * crystal system: tetragonal
# * Fermi-level density of states: 12.82 states/eV per cell
data_AgPt2Au
_chemical_formula_sum 'Ag4 Pt8 Au4'
_symmetry_space_group_name_H-M 'I -4 2 d'
_symmetry_Int_Tables_number 122
_symmetry_space_group_name_Hall 'I -4 2bw'
_cell_length_a 3.859
_cell_length_b 3.859
_cell_length_c 19.549
_cell_angle_alpha 90.00
_cell_angle_beta 90.00
_cell_angle_gamma 90.00
loop_
_atom_site_label
_atom_site_fract_x
_atom_site_fract_y
_atom_site_fract_z
Ag1 0.000 0.000 0.000
Pt1 0.248 0.250 0.625
Au1 0.000 0.000 0.500

Record 5
# PBE NaSc2HI, relaxed
# * VASP energy: -3.137 eV per atom
# * crystal system: tetragonal
# * Fermi-level density of states: 5.07 states/eV per cell
data_NaSc2HI
_chemical_formula_sum 'Na1 Sc2 H1 I1'
_symmetry_space_group_name_H-M 'P 4/m m m'
_symmetry_Int_Tables_number 123
_symmetry_space_group_name_Hall '-P 4 2'
_cell_length_a 5.661
_cell_length_b 5.661
_cell_length_c 3.688
_cell_angle_alpha 90.00
_cell_angle_beta 90.00
_cell_angle_gamma 90.00
loop_
_atom_site_label
_atom_site_fract_x
_atom_site_fract_y
_atom_site_fract_z
Na1 0.000 0.000 0.000
Sc1 0.000 0.500 0.000
H1 0.000 0.000 0.500
I1 0.500 0.500 0.500

Record 6
# PBE Li2NpCuF8, relaxed
# * VASP energy: -5.784 eV per atom
# * crystal system: tetragonal
# * E_form (uncorrected): -2.80 eV per atom
# * Fermi-level density of states: 15.87 states/eV per cell
data_Li2NpCuF8
_chemical_formula_sum 'Li4 Np2 Cu2 F16'
_symmetry_space_group_name_H-M 'I -4 m 2'
_symmetry_Int_Tables_number 119
_symmetry_space_group_name_Hall 'I -4 -2'
_cell_length_a 6.827
_cell_length_b 6.827
_cell_length_c 6.853
_cell_angle_alpha 90.00
_cell_angle_beta 90.00
_cell_angle_gamma 90.00
loop_
_atom_site_label
_atom_site_fract_x
_atom_site_fract_y
_atom_site_fract_z
Li1 0.000 0.000 0.000
Li2 0.000 0.500 0.250
Np1 0.000 0.000 0.500
Cu1 0.000 0.500 0.750
F1 0.000 0.195 0.788
F2 0.000 0.305 0.430

Record 7
# PBE SrCa14Sm, relaxed
# * VASP energy: -2.115 eV per atom
# * crystal system: orthorhombic
# * Fermi-level density of states: 43.01 states/eV per cell
data_SrCa14Sm
_chemical_formula_sum 'Sr2 Ca28 Sm2'
_symmetry_space_group_name_H-M 'A m m 2'
_symmetry_Int_Tables_number 38
_symmetry_space_group_name_Hall 'A 2 -2'
_cell_length_a 12.802
_cell_length_b 7.785
_cell_length_c 13.491
_cell_angle_alpha 90.00
_cell_angle_beta 90.00
_cell_angle_gamma 90.00
loop_
_atom_site_label
_atom_site_fract_x
_atom_site_fract_y
_atom_site_fract_z
Sr1 0.000 0.000 0.000
Ca1 0.000 0.249 0.250
Ca2 0.246 0.000 0.665
Ca3 0.249 0.246 0.417
Ca4 0.252 0.000 0.168
Ca5 0.500 0.000 0.334
Ca6 0.500 0.000 0.834
Ca7 0.500 0.249 0.584
Sm1 0.000 0.000 0.500

Record 8
# PBE K4Ce3DySe8, relaxed
# * VASP energy: -5.121 eV per atom
# * crystal system: trigonal
# * E_form (uncorrected): -1.70 eV per atom
# * Fermi-level density of states: 55.27 states/eV per cell
data_K4Ce3DySe8
_chemical_formula_sum 'K12 Ce9 Dy3 Se24'
_symmetry_space_group_name_H-M 'R -3 m'
_symmetry_Int_Tables_number 166
_symmetry_space_group_name_Hall '-R 3 2"'
_cell_length_a 8.6808
_cell_length_b 8.6808
_cell_length_c 23.0064
_cell_angle_alpha 90.00
_cell_angle_beta 90.00
_cell_angle_gamma 120.00
loop_
_atom_site_label
_atom_site_fract_x
_atom_site_fract_y
_atom_site_fract_z
K1 0.0000 0.0000 0.0000
K2 0.0000 0.5000 0.0000
Ce1 0.0000 0.5000 0.5000
Dy1 0.0000 0.0000 0.5000
Se1 0.0000 0.0000 0.2370
Se2 0.0076 0.5038 0.2359

| no. | total magnetization (μB/atom) |
| --- | --- |
| 1 | 0.000 |
| 2 | 0.000 |
| 3 | 0.115 |
| 4 | 0.000 |
| 5 | 0.219 |
| 6 | 0.167 |
| 7 | 0.045 |
| 8 | 0.188 |